1.
Crystalline CrTe2Pd at its relaxed geometry. Source: Alexandria via LeMat-Bulk, functional GGA-PBE.

For the uncorrected formation energy, the calculation gives 0.0884 eV per atom. For the density, the calculation gives 8.36 Mg/m³.

a b c (Å): 6.900 6.900 6.900
angles (deg): 90.00 90.00 90.00
Space group Fm-3m (No. 225)
Symmetry-distinct sites (fractional):
Cr  0.000  0.000  0.000 x4
Te  0.250  0.250  0.250 x8
Pd  0.000  0.000  0.500 x4

2.
Crystalline CrTe8Pd3 at its relaxed geometry. Source: Alexandria via LeMat-Bulk, functional GGA-PBE.

For the uncorrected formation energy, the calculation gives -0.2829 eV per atom. For the density, the calculation gives 7.53 Mg/m³.

a b c (Å): 6.718 6.742 8.121
angles (deg): 107.61 107.50 105.59
Space group P-1 (No. 2)
Symmetry-distinct sites (fractional):
Cr  0.000  0.000  0.000 x1
Te  0.033  0.297  0.837 x2
Te  0.040  0.292  0.332 x2
Te  0.461  0.197  0.162 x2
Te  0.463  0.206  0.667 x2
Pd  0.000  0.000  0.500 x1
Pd  0.500  0.500  0.000 x1
Pd  0.500  0.500  0.500 x1

3.
Crystalline ZrCrTePd2 at its relaxed geometry. Source: Alexandria via LeMat-Bulk, functional GGA-PBE.

For the uncorrected formation energy, the calculation gives 0.7634 eV per atom. For the density, the calculation gives 7.23 Mg/m³.

a b c (Å): 4.837 4.837 4.746
angles (deg): 90.00 90.00 90.00
Space group P4/mmm (No. 123)
Symmetry-distinct sites (fractional):
Zr  0.000  0.000  0.000 x1
Cr  0.500  0.500  0.000 x1
Te  0.500  0.500  0.500 x1
Pd  0.000  0.500  0.500 x2

4.
Crystalline Zr2CrTePd at its relaxed geometry. Source: Alexandria via LeMat-Bulk, functional GGA-PBE.

For the uncorrected formation energy, the calculation gives 0.3643 eV per atom. For the density, the calculation gives 6.22 Mg/m³.

a b c (Å): 5.068 5.068 4.868
angles (deg): 90.00 90.00 90.00
Space group P4/mmm (No. 123)
Symmetry-distinct sites (fractional):
Zr  0.000  0.500  0.000 x2
Cr  0.000  0.000  0.500 x1
Te  0.500  0.500  0.500 x1
Pd  0.000  0.000  0.000 x1

5.
Crystalline Th4CrPd15 at its relaxed geometry. Source: Alexandria via LeMat-Bulk, functional GGA-PBE.

For the density, the calculation gives 11.84 Mg/m³. The formation energy comes out at -74.4 kJ per mole of atoms.

a b c (Å): 4.195 4.195 20.542
angles (deg): 90.00 90.00 90.00
Space group P4/mmm (No. 123)
Symmetry-distinct sites (fractional):
Th  0.000  0.000  0.104 x2
Th  0.000  0.000  0.313 x2
Cr  0.000  0.000  0.500 x1
Pd  0.000  0.500  0.000 x2
Pd  0.000  0.500  0.204 x4
Pd  0.000  0.500  0.408 x4
Pd  0.500  0.500  0.102 x2
Pd  0.500  0.500  0.305 x2
Pd  0.500  0.500  0.500 x1

6.
Crystalline Ti3CrPd12 at its relaxed geometry. Source: Alexandria via LeMat-Bulk, functional GGA-PBE.

For the density, the calculation gives 10.11 Mg/m³. The formation energy comes out at -49.2 kJ per mole of atoms.

a b c (Å): 3.927 3.927 15.685
angles (deg): 90.00 90.00 90.00
Space group P4/mmm (No. 123)
Symmetry-distinct sites (fractional):
Ti  0.000  0.000  0.000 x1
Ti  0.000  0.000  0.254 x2
Cr  0.000  0.000  0.500 x1
Pd  0.000  0.500  0.124 x4
Pd  0.000  0.500  0.372 x4
Pd  0.500  0.500  0.000 x1
Pd  0.500  0.500  0.249 x2
Pd  0.500  0.500  0.500 x1

Q: Which formula does entry 1 have?
A: CrTe2Pd

Q: The lowest density belongs to which entry?
A: Zr2CrTePd

Q: Which formula does entry 1 have?
A: CrTe2Pd

What did the third record say?
Crystalline ZrCrTePd2 at its relaxed geometry. Source: Alexandria via LeMat-Bulk, functional GGA-PBE.

For the uncorrected formation energy, the calculation gives 0.7634 eV per atom. For the density, the calculation gives 7.23 Mg/m³.

a b c (Å): 4.837 4.837 4.746
angles (deg): 90.00 90.00 90.00
Space group P4/mmm (No. 123)
Symmetry-distinct sites (fractional):
Zr  0.000  0.000  0.000 x1
Cr  0.500  0.500  0.000 x1
Te  0.500  0.500  0.500 x1
Pd  0.000  0.500  0.500 x2